Entry from Alexandria via LeMat-Bulk: AcPm2IrO8 after structural relaxation (PBE).

```
AcPm2IrO8
1.0
5.215 0.023 -0.003
0.066 5.219 -0.005
0.006 0.009 7.150
O Pm Ac Ir
8 2 1 1
direct
0.183 0.816 0.804 O
0.183 0.816 0.196 O
0.320 0.318 0.500 O
0.258 0.256 0.000 O
0.817 0.184 0.804 O
0.680 0.682 0.500 O
0.742 0.744 0.000 O
0.817 0.184 0.196 O
0.500 0.500 0.752 Pm
0.500 0.500 0.248 Pm
0.000 0.000 0.500 Ac
0.000 0.000 0.000 Ir
```

Calculated values
space group	P2/m (10)
Fermi-level density of states	0.521	states/eV/atom
DFT total energy	-7.4428	eV per atom

=====

Entry from Alexandria via LeMat-Bulk: PaH8PdPt2 after structural relaxation (PBE).

```
PaH8PdPt2
1.0
-2.996 -1.747 -3.548
-0.428 -1.669 4.652
-4.015 4.416 1.216
H Pa Pd Pt
8 1 1 2
direct
0.333 0.667 0.356 H
0.667 0.333 0.644 H
0.328 0.164 0.179 H
0.164 0.328 0.821 H
0.672 0.836 0.821 H
0.164 0.836 0.821 H
0.836 0.164 0.179 H
0.836 0.672 0.179 H
0.000 0.000 0.500 Pa
0.000 0.000 0.000 Pd
0.333 0.667 0.621 Pt
0.667 0.333 0.379 Pt
```

Calculated values
space group	P-3m1 (164)
Fermi-level density of states	0.148	states/eV/atom
DFT total energy	-4.5757	eV per atom

=====

Entry from Alexandria via LeMat-Bulk: ThUN after structural relaxation (PBE).

```
ThUN
1.0
4.587 0.000 0.000
0.000 4.587 0.000
-2.294 -2.294 3.934
Th N U
1 1 1
direct
0.349 0.349 0.698 Th
0.624 0.624 0.249 N
0.877 0.877 0.754 U
```

Calculated values
space group	I4mm (107)
Fermi-level density of states	2.367	states/eV/atom
DFT total energy	-8.4744	eV per atom
E above lowest polymorph	3.716	eV per formula unit

=====

Entry from Alexandria via LeMat-Bulk: InBMo2 after structural relaxation (PBE).

```
InBMo2
1.0
0.000 3.092 3.092
3.092 0.000 3.092
3.092 3.092 0.000
Mo In B
2 1 1
direct
0.250 0.250 0.250 Mo
0.750 0.750 0.750 Mo
0.500 0.500 0.500 In
0.000 0.000 0.000 B
```

Calculated values
space group	Fm-3m (225)
Fermi-level density of states	0.793	states/eV/atom
DFT total energy	-6.8386	eV per atom
E above lowest polymorph	0.000	eV per formula unit